Record 1
A plane-wave DFT calculation with PBE-GGA was carried out for a relaxed La12Ir6Ru crystal.

```
La12Ir6Ru
1.0
8.321 0.245 -1.516
-1.859 8.114 -1.516
0.190 0.245 8.456
Ir Ru La
6 1 12
Direct
0.308 0.616 0.132
0.868 0.692 0.384
0.132 0.308 0.616
0.616 0.132 0.308
0.384 0.868 0.692
0.692 0.384 0.868
0.000 0.000 0.000
0.920 0.679 0.048
0.584 0.822 0.415
0.080 0.321 0.952
0.178 0.585 0.416
0.416 0.178 0.585
0.822 0.415 0.584
0.321 0.952 0.080
0.415 0.584 0.822
0.048 0.920 0.679
0.585 0.416 0.178
0.679 0.048 0.920
0.952 0.080 0.321
```

Calculated values
Space-group type: R-3
Energy in Ry/atom: -0.515


Record 2
A plane-wave DFT calculation with PBE-GGA was carried out for a relaxed K2LiErF6 crystal.

```
K2LiErF6
1.0
6.005 0.000 -0.023
0.000 5.994 0.000
0.019 0.000 8.497
F Li K Er
12 2 4 2
Direct
0.462 0.995 0.748
0.270 0.725 0.019
0.230 0.225 0.481
0.538 0.005 0.252
0.770 0.775 0.519
0.275 0.730 0.481
0.225 0.230 0.019
0.775 0.770 0.981
0.730 0.275 0.981
0.962 0.505 0.248
0.038 0.495 0.752
0.725 0.270 0.519
0.000 0.500 0.000
0.500 0.000 0.500
0.499 0.489 0.251
0.999 0.011 0.751
0.001 0.989 0.249
0.501 0.511 0.749
0.000 0.500 0.500
0.500 0.000 0.000
```

Calculated values
Space-group type: P2_1/c
Energy in Ry/atom: -0.394


Record 3
A plane-wave DFT calculation with PBE-GGA was carried out for a relaxed Zr2TiCoN crystal.

```
Zr2TiCoN
1.0
4.478 0.000 0.000
0.000 4.478 0.000
0.000 0.000 3.961
Co Zr N Ti
1 2 1 1
Direct
0.500 0.500 0.500
0.000 0.500 0.000
0.500 0.000 0.000
0.000 0.000 0.000
0.000 0.000 0.500
```

Calculated values
Space-group type: P4/mmm
Energy in Ry/atom: -0.645


Record 4
A plane-wave DFT calculation with PBE-GGA was carried out for a relaxed TbSmTh2 crystal.

```
TbSmTh2
1.0
5.685 0.000 0.000
2.842 4.923 0.000
2.842 1.641 4.642
Sm Tb Th
1 1 2
Direct
0.500 0.500 0.500
0.000 0.000 0.000
0.750 0.750 0.750
0.250 0.250 0.250
```

Calculated values
Space-group type: Fm-3m
Energy in Ry/atom: -0.431


Record 5
A plane-wave DFT calculation with PBE-GGA was carried out for a relaxed Sc2TaTc crystal.

```
Sc2TaTc
1.0
-7.086 0.222 2.675
2.273 -3.518 6.314
-1.883 0.810 5.676
Ta Sc Tc
2 4 2
Direct
0.000 0.000 0.000
0.750 0.250 0.500
0.164 0.625 0.250
0.875 0.836 0.750
0.375 0.414 0.750
0.586 0.125 0.250
0.500 0.500 0.000
0.250 0.750 0.500
```

Calculated values
Space-group type: I-42d
Energy in Ry/atom: -0.602


Record 6
A plane-wave DFT calculation with PBE-GGA was carried out for a relaxed KSeBr3 crystal.

```
KSeBr3
1.0
9.064 0.000 -2.564
0.000 8.208 0.000
-4.114 0.000 11.122
K Se Br
4 4 12
Direct
0.037 0.578 0.308
0.463 0.078 0.192
0.963 0.422 0.692
0.537 0.922 0.808
0.472 0.617 0.171
0.528 0.383 0.829
0.028 0.117 0.329
0.972 0.883 0.671
0.318 0.431 0.237
0.674 0.799 0.126
0.207 0.728 0.958
0.826 0.299 0.374
0.293 0.228 0.542
0.182 0.931 0.263
0.793 0.272 0.042
0.707 0.772 0.458
0.682 0.569 0.763
0.818 0.069 0.737
0.174 0.701 0.626
0.326 0.201 0.874
```

Calculated values
Space-group type: P2_1/c
Energy in Ry/atom: -0.194